Here is an optimized crystal structure of Rb8Zr6MnBr20 from Alexandria via LeMat-Bulk. Energies are from PBE.

CIF file:
```
data_Rb8Zr6MnBr20
_symmetry_space_group_name_H-M 'F m -3 m'
_symmetry_Int_Tables_number 225
_symmetry_space_group_name_Hall '-F 4 2 3'
_cell_length_a 17.144
_cell_length_b 17.144
_cell_length_c 17.144
_cell_angle_alpha 90.00
_cell_angle_beta 90.00
_cell_angle_gamma 90.00
loop_
_atom_site_label
_atom_site_type_symbol
_atom_site_fract_x
_atom_site_fract_y
_atom_site_fract_z
Rb1 Rb 0.140 0.140 0.140
Zr1 Zr 0.000 0.000 0.358
Mn1 Mn 0.000 0.000 0.500
Br1 Br 0.000 0.000 0.187
Br2 Br 0.000 0.161 0.339
Br3 Br 0.250 0.250 0.250
```

The calculation puts the density at 3801 kg/m3. For the uncorrected formation energy, the calculation gives -1.495 eV per atom.